No. 1
Here is crystalline TlCu4TeSe2 at its relaxed geometry from Alexandria. Energies are from PBE.

```
TlCu4TeSe2
1.0
3.9519 0.0000 0.0000
0.0000 3.9519 0.0000
0.0000 0.0000 10.6576
Tl Cu Te Se
1 4 1 2
Direct
0.0000 0.0000 0.0000
0.0000 0.5000 0.3245
0.0000 0.5000 0.6755
0.5000 0.0000 0.3245
0.5000 0.0000 0.6755
0.0000 0.0000 0.5000
0.5000 0.5000 0.1901
0.5000 0.5000 0.8099
```

Computed properties:
Space group   No. 123
Formation energy without anion corrections   -1.36 eV per formula unit

No. 2
Here is crystalline TlCuTeSe2 at its relaxed geometry from Alexandria. Energies are from PBE.

```
TlCuTeSe2
1.0
7.9274 0.0000 0.0000
0.0000 4.9951 0.0000
-2.0430 0.0000 7.8191
Tl Cu Te Se
2 2 2 4
Direct
0.0000 0.2436 0.2500
0.0000 0.7564 0.7500
0.5000 0.0000 0.0000
0.5000 0.0000 0.5000
0.5000 0.3167 0.2500
0.5000 0.6833 0.7500
0.2347 0.2261 0.9593
0.2347 0.7739 0.4593
0.7653 0.2261 0.5407
0.7653 0.7739 0.0407
```

Computed properties:
Space group   No. 13
Formation energy without anion corrections   -0.55 eV per formula unit

No. 3
Here is crystalline Tl2Cu2TeSe4 at its relaxed geometry from Alexandria. Energies are from PBE.

```
Tl2Cu2TeSe4
1.0
7.5777 -2.0539 0.0000
7.5777 2.0539 0.0000
-2.7319 0.0000 7.2961
Tl Cu Te Se
2 2 1 4
Direct
0.1379 0.1379 0.0697
0.8621 0.8621 0.9303
0.3048 0.3048 0.5030
0.6952 0.6952 0.4970
0.0000 0.0000 0.5000
0.1995 0.1995 0.6891
0.4724 0.4724 0.7274
0.5276 0.5276 0.2726
0.8005 0.8005 0.3109
```

Computed properties:
Space group   No. 12
Formation energy without anion corrections   -1.81 eV per formula unit

No. 4
Here is crystalline TlCuTeSe3 at its relaxed geometry from Alexandria. Energies are from PBE.

```
TlCuTeSe3
1.0
2.0414 -6.6954 0.0000
2.0414 6.6954 0.0000
0.0000 0.0000 11.2758
Tl Cu Te Se
2 2 2 6
Direct
0.2285 0.7715 0.7500
0.7715 0.2285 0.2500
0.0818 0.9182 0.2500
0.9182 0.0818 0.7500
0.5000 0.5000 0.0000
0.5000 0.5000 0.5000
0.1423 0.8577 0.0453
0.1423 0.8577 0.4547
0.4698 0.5302 0.2500
0.5302 0.4698 0.7500
0.8577 0.1423 0.5453
0.8577 0.1423 0.9547
```

Computed properties:
Space group   No. 63
Formation energy without anion corrections   -0.96 eV per formula unit

No. 5
Here is crystalline TmCuTeSe at its relaxed geometry from Alexandria. Energies are from PBE.

```
TmCuTeSe
1.0
2.0430 1.1795 6.9404
-2.0430 1.1795 6.9404
0.0000 -2.3590 6.9404
Tm Cu Te Se
1 1 1 1
Direct
0.0000 0.0000 0.0000
0.5474 0.5474 0.5474
0.4226 0.4226 0.4226
0.2486 0.2486 0.2486
```

Computed properties:
Space group   No. 160
Formation energy without anion corrections   -3.65 eV per formula unit

No. 6
Here is crystalline Tm4CuTe2Se at its relaxed geometry from Alexandria. Energies are from PBE.

```
Tm4CuTe2Se
1.0
7.3121 0.0000 0.0000
0.0000 4.0266 0.0000
-2.2670 0.0000 6.9914
Tm Cu Te Se
4 1 2 1
Direct
0.2244 0.0000 0.2128
0.2489 0.5000 0.7794
0.7511 0.5000 0.2206
0.7756 0.0000 0.7872
0.0000 0.5000 0.0000
0.0000 0.0000 0.5000
0.5000 0.5000 0.5000
0.5000 0.0000 0.0000
```

Computed properties:
Space group   No. 10
Formation energy without anion corrections   -8.75 eV per formula unit

No. 7
Here is crystalline VCu3Te3Se at its relaxed geometry from Alexandria. Energies are from PBE.

```
VCu3Te3Se
1.0
4.1084 2.3720 3.4531
-4.1084 2.3720 3.4531
0.0000 -4.7440 3.4531
V Cu Te Se
1 3 3 1
Direct
0.0000 0.0000 0.0000
0.0020 0.0020 0.4936
0.0020 0.4936 0.0020
0.4936 0.0020 0.0020
0.2591 0.7457 0.7457
0.7457 0.2591 0.7457
0.7457 0.7457 0.2591
0.2285 0.2285 0.2285
```

Computed properties:
Space group   No. 160
Formation energy without anion corrections   -2.44 eV per formula unit

No. 8
Here is crystalline Y4CuTeSe2 at its relaxed geometry from Alexandria. Energies are from PBE.

```
Y4CuTeSe2
1.0
7.2400 0.0000 0.0000
0.0000 4.0564 0.0000
-2.2817 0.0000 6.9419
Y Cu Te Se
4 1 1 2
Direct
0.2304 0.0000 0.2391
0.2327 0.5000 0.7453
0.7673 0.5000 0.2547
0.7696 0.0000 0.7609
0.0000 0.0000 0.5000
0.5000 0.5000 0.5000
0.0000 0.5000 0.0000
0.5000 0.0000 0.0000
```

Computed properties:
Space group   No. 10
Formation energy without anion corrections   -10.00 eV per formula unit

Going through the records in order, we get electronic total energy values of -3.7780; -3.4240; -3.5349; -3.5025; -4.7099; -5.0627; -4.5947; -6.2585 eV per atom.